No. 1
CaTaTe | PBE-GGA | optimized geometry

Cell: 4.824 4.824 3.753 Å, 90.00 90.00 120.00°
Sites, in units of the cell vectors:
Ca 0.000 0.000 0.000
Ta 0.667 0.333 0.500
Te 0.333 0.667 0.500

Calculated values
* formation energy without anion corrections: 18.6 kJ per mole of atoms
* D(E_F): 1.01 states/eV per atom


No. 2
NaAl2ZnH | PBE-GGA | optimized geometry

Cell: 4.184 4.184 4.302 Å, 90.00 90.00 90.00°
Sites, in units of the cell vectors:
Na 0.000 0.000 0.000
Al 0.000 0.500 0.500
Al 0.500 0.000 0.500
Zn 0.500 0.500 0.000
H 0.000 0.000 0.500

Calculated values
* calculated total energy: -2.478 eV/atom
* D(E_F): 0.33 states/eV per atom


No. 3
BeTePd | PBE-GGA | optimized geometry

Cell: 3.145 4.269 9.145 Å, 96.19 91.90 111.54°
Sites, in units of the cell vectors:
Be 0.000 0.000 0.000
Be 0.264 0.548 0.911
Te 0.054 0.058 0.278
Te 0.773 0.616 0.645
Pd 0.528 0.091 0.819
Pd 0.740 0.462 0.096

Calculated values
* formation energy without anion corrections: -33.2 kJ per mole of atoms
* D(E_F): 0.33 states/eV per atom


No. 4
PmSmDyCd | PBE-GGA | optimized geometry

Cell: 3.647 3.647 9.096 Å, 90.00 90.00 90.00°
Sites, in units of the cell vectors:
Pm 0.000 0.000 0.000
Sm 0.500 0.500 0.720
Dy 0.500 0.500 0.273
Cd 0.000 0.000 0.489

Calculated values
* E_form: -0.15 eV per atom
* D(E_F): 1.04 states/eV per atom


No. 5
TlAg2HPd | PBE-GGA | optimized geometry

Cell: 4.700 4.700 3.599 Å, 90.00 90.00 90.00°
Sites, in units of the cell vectors:
Tl 0.000 0.000 0.000
Ag 0.000 0.500 0.500
Ag 0.500 0.000 0.500
H 0.500 0.500 0.500
Pd 0.500 0.500 0.000

Calculated values
* calculated total energy: -3.246 eV/atom
* D(E_F): 0.51 states/eV per atom


No. 6
PmPaSn2 | PBE-GGA | optimized geometry

Cell: 4.942 4.942 4.400 Å, 90.00 90.00 90.00°
Sites, in units of the cell vectors:
Pm 0.000 0.000 0.000
Pa 0.500 0.500 0.000
Sn 0.000 0.500 0.500
Sn 0.500 0.000 0.500

Calculated values
* E_form: -0.37 eV per atom
* D(E_F): 1.49 states/eV per atom


No. 7
ErPaSiAu | PBE-GGA | optimized geometry

Cell: 5.032 5.032 5.032 Å, 60.00 60.00 60.00°
Sites, in units of the cell vectors:
Er 0.000 0.000 0.000
Pa 0.500 0.500 0.500
Si 0.250 0.250 0.250
Au 0.750 0.750 0.750

Calculated values
* formation energy without anion corrections: -34.2 kJ per mole of atoms
* D(E_F): 1.86 states/eV per atom


No. 8
BaNiSb2 | PBE-GGA | optimized geometry

Cell: 3.603 3.603 7.859 Å, 90.00 90.00 90.00°
Sites, in units of the cell vectors:
Ba 0.000 0.000 0.000
Ni 0.000 0.000 0.500
Sb 0.500 0.500 0.320
Sb 0.500 0.500 0.680

Calculated values
* formation energy without anion corrections: -12.1 kJ per mole of atoms
* D(E_F): 0.86 states/eV per atom